# ErPS4

Crystalline ErPS4 at its relaxed geometry (GGA-PBE, Alexandria via LeMat-Bulk).

```
12
Lattice="-4.451 4.451 3.565 4.451 -4.451 3.565 4.451 4.451 -3.565" Properties=species:S:1:pos:R:3 pbc="T T T"
Er 4.451 2.225 0.891
Er 0.000 2.225 2.674
P 4.451 -2.225 2.674
P 0.000 6.676 0.891
S 4.451 -0.658 1.332
S 4.451 3.793 -1.332
S 1.568 2.225 0.450
S 2.883 -2.225 4.015
S 1.568 6.676 -0.450
S 2.883 2.225 3.115
S 0.000 0.658 4.897
S 0.000 5.108 2.232
```

Results
ΔE_f (raw) = -0.92 eV per atom
SG = I4_1/amd (141)
uncorrected energy = -5.338 eV/atom
mass density = 3.84 g/cm³

---

# Er4PS3

Crystalline Er4PS3 at its relaxed geometry (GGA-PBE, Alexandria via LeMat-Bulk).

```
8
Lattice="5.497 0.000 0.000 0.000 5.497 0.000 0.000 0.000 5.497" Properties=species:S:1:pos:R:3 pbc="T T T"
Er 0.000 0.000 0.000
Er 0.000 2.749 2.749
Er 2.749 0.000 2.749
Er 2.749 2.749 0.000
P 2.749 2.749 2.749
S 0.000 0.000 2.749
S 0.000 2.749 0.000
S 2.749 0.000 0.000
```

Results
ΔE_f (raw) = -1.92 eV per atom
SG = Pm-3m (221)
uncorrected energy = -6.428 eV/atom
mass density = 7.96 g/cm³